No. 1
Below is a relaxed structure of TiBe17Fe, with properties calculated at the PBE-GGA level.

As for the space-group type: No. 160. For the magnetic moment, the calculation gives 1.54 μB per cell. As for the crystal system: trigonal. As for the formation energy: -0.123 eV/atom.

Lattice parameters (Å, degrees): 5.486 5.486 5.486 82.71 82.71 82.71
Element x y z (fractional)
Ti (0.000, 0.000, 0.000)
Be (0.033, 0.343, 0.637)
Be (0.033, 0.637, 0.343)
Be (0.188, 0.684, 0.684)
Be (0.240, 0.240, 0.240)
Be (0.331, 0.331, 0.843)
Be (0.331, 0.843, 0.331)
Be (0.343, 0.033, 0.637)
Be (0.343, 0.637, 0.033)
Be (0.441, 0.441, 0.441)
Be (0.505, 0.988, 0.988)
Be (0.637, 0.033, 0.343)
Be (0.637, 0.343, 0.033)
Be (0.684, 0.188, 0.684)
Be (0.684, 0.684, 0.188)
Be (0.843, 0.331, 0.331)
Be (0.988, 0.505, 0.988)
Be (0.988, 0.988, 0.505)
Fe (0.671, 0.671, 0.671)

***

No. 2
Below is a relaxed structure of PuTh4Sb5, with properties calculated at the PBE-GGA level.

As for the space-group type: No. 139. For the magnetic moment, the calculation gives 5.53 μB per cell. For the uncorrected formation energy, the calculation gives -865 meV/atom. The calculation puts the energy relative to the lowest polymorph listed for this composition at 9 meV per atom. As for the crystal system: tetragonal.

Lattice parameters (Å, degrees): 16.202 16.202 16.202 164.04 164.04 22.65
Element x y z (fractional)
Pu (0.000, 0.000, 0.000)
Th (0.200, 0.200, 0.000)
Th (0.401, 0.401, 0.000)
Th (0.599, 0.599, 0.000)
Th (0.800, 0.800, 0.000)
Sb (0.099, 0.099, 0.000)
Sb (0.300, 0.300, 0.000)
Sb (0.500, 0.500, 0.000)
Sb (0.700, 0.700, 0.000)
Sb (0.901, 0.901, 0.000)

***

No. 3
Below is a relaxed structure of Rb2NpO6, with properties calculated at the PBE-GGA level.

As for the space-group type: No. 12. For the magnetic moment, the calculation gives 1.04 μB per cell. For the uncorrected formation energy, the calculation gives -1887 meV/atom. The calculation puts the energy relative to the lowest polymorph listed for this composition at 0 meV per atom. As for the crystal system: monoclinic.

Lattice parameters (Å, degrees): 7.143 7.143 4.988 110.32 110.32 51.01
Element x y z (fractional)
Rb (0.168, 0.168, 0.168)
Rb (0.832, 0.832, 0.832)
Np (0.500, 0.500, 0.500)
O (0.171, 0.596, 0.384)
O (0.390, 0.610, 0.000)
O (0.404, 0.829, 0.616)
O (0.596, 0.171, 0.384)
O (0.610, 0.390, 0.000)
O (0.829, 0.404, 0.616)

***

No. 4
Below is a relaxed structure of Y3HgPt, with properties calculated at the PBE-GGA level.

As for the space-group type: No. 51. For the magnetic moment, the calculation gives 0.00 μB per cell. The calculation puts the energy relative to the lowest polymorph listed for this composition at 18 meV per atom. As for the crystal system: orthorhombic. As for the formation energy: -0.613 eV/atom.

Lattice parameters (Å, degrees): 6.242 5.429 8.288 90.00 90.00 90.00
Element x y z (fractional)
Y (0.000, 0.000, 0.000)
Y (0.250, 0.000, 0.367)
Y (0.250, 0.500, 0.721)
Y (0.500, 0.000, 0.000)
Y (0.750, 0.000, 0.633)
Y (0.750, 0.500, 0.279)
Hg (0.250, 0.500, 0.125)
Hg (0.750, 0.500, 0.875)
Pt (0.250, 0.000, 0.701)
Pt (0.750, 0.000, 0.299)

***

No. 5
Below is a relaxed structure of MgTa3, with properties calculated at the PBE-GGA level.

As for the space-group type: No. 12. For the magnetic moment, the calculation gives 0.00 μB per cell. The calculation puts the energy relative to the lowest polymorph listed for this composition at 142 meV per atom. As for the crystal system: monoclinic. As for the formation energy: 0.278 eV/atom.

Lattice parameters (Å, degrees): 5.116 5.116 5.341 96.90 96.90 32.62
Element x y z (fractional)
Mg (0.000, 0.000, 0.000)
Ta (0.251, 0.251, 0.750)
Ta (0.500, 0.500, 0.500)
Ta (0.749, 0.749, 0.250)

***

No. 6
Below is a relaxed structure of LiMnCo2N, with properties calculated at the PBE-GGA level.

As for the space-group type: No. 123. For the magnetic moment, the calculation gives 3.98 μB per cell. For the uncorrected formation energy, the calculation gives -97 meV/atom. As for the crystal system: tetragonal.

Lattice parameters (Å, degrees): 3.734 3.734 3.812 90.00 90.00 90.00
Element x y z (fractional)
Li (0.000, 0.000, 0.000)
Mn (0.500, 0.500, 0.000)
Co (0.000, 0.500, 0.500)
Co (0.500, 0.000, 0.500)
N (0.500, 0.500, 0.500)

***

No. 7
Below is a relaxed structure of Pm2SnS, with properties calculated at the PBE-GGA level.

As for the space-group type: No. 123. For the magnetic moment, the calculation gives 0.00 μB per cell. For the uncorrected formation energy, the calculation gives -1182 meV/atom. The calculation puts the energy relative to the lowest polymorph listed for this composition at 175 meV per atom. As for the crystal system: tetragonal.

Lattice parameters (Å, degrees): 3.496 3.496 8.079 90.00 90.00 90.00
Element x y z (fractional)
Pm (0.000, 0.000, 0.222)
Pm (0.000, 0.000, 0.778)
Sn (0.500, 0.500, 0.500)
S (0.500, 0.500, 0.000)

***

No. 8
Below is a relaxed structure of Mn2Bi2C, with properties calculated at the PBE-GGA level.

As for the space-group type: No. 139. For the magnetic moment, the calculation gives 5.33 μB per cell. The calculation puts the energy relative to the lowest polymorph listed for this composition at 73 meV per atom. As for the crystal system: tetragonal. As for the formation energy: 0.782 eV/atom.

Lattice parameters (Å, degrees): 5.151 5.151 5.151 113.55 113.55 101.59
Element x y z (fractional)
Mn (0.227, 0.227, 0.000)
Mn (0.773, 0.773, 0.000)
Bi (0.250, 0.750, 0.500)
Bi (0.750, 0.250, 0.500)
C (0.500, 0.500, 0.000)

***

No. 9
Below is a relaxed structure of YErBeAu, with properties calculated at the PBE-GGA level.

As for the space-group type: No. 216. For the magnetic moment, the calculation gives 0.00 μB per cell. As for the crystal system: cubic. As for the formation energy: -0.350 eV/atom.

Lattice parameters (Å, degrees): 4.976 4.976 4.976 60.00 60.00 60.00
Element x y z (fractional)
Y (0.000, 0.000, 0.000)
Er (0.500, 0.500, 0.500)
Be (0.750, 0.750, 0.750)
Au (0.250, 0.250, 0.250)

***

No. 10
Below is a relaxed structure of AcLuScHg, with properties calculated at the PBE-GGA level.

As for the space-group type: No. 216. For the magnetic moment, the calculation gives 1.49 μB per cell. As for the crystal system: cubic. As for the formation energy: 0.105 eV/atom.

Lattice parameters (Å, degrees): 5.420 5.420 5.420 60.00 60.00 60.00
Element x y z (fractional)
Ac (0.000, 0.000, 0.000)
Lu (0.250, 0.250, 0.250)
Sc (0.750, 0.750, 0.750)
Hg (0.500, 0.500, 0.500)

***

No. 11
Below is a relaxed structure of Fe2ReBr, with properties calculated at the PBE-GGA level.

As for the space-group type: No. 225. For the magnetic moment, the calculation gives 3.68 μB per cell. For the uncorrected formation energy, the calculation gives 1174 meV/atom. The calculation puts the energy relative to the lowest polymorph listed for this composition at 623 meV per atom. As for the crystal system: cubic.

Lattice parameters (Å, degrees): 4.304 4.304 4.304 60.00 60.00 60.00
Element x y z (fractional)
Fe (0.250, 0.250, 0.250)
Fe (0.750, 0.750, 0.750)
Re (0.000, 0.000, 0.000)
Br (0.500, 0.500, 0.500)

***

No. 12
Below is a relaxed structure of ReSnPb3, with properties calculated at the PBE-GGA level.

As for the space-group type: No. 221. For the magnetic moment, the calculation gives 1.31 μB per cell. The calculation puts the energy relative to the lowest polymorph listed for this composition at 0 meV per atom. As for the crystal system: cubic. As for the formation energy: 0.665 eV/atom.

Lattice parameters (Å, degrees): 5.378 5.378 5.378 90.00 90.00 90.00
Element x y z (fractional)
Re (0.000, 0.000, 0.000)
Sn (0.500, 0.500, 0.500)
Pb (0.000, 0.000, 0.500)
Pb (0.000, 0.500, 0.000)
Pb (0.500, 0.000, 0.000)